This record from Alexandria describes crystalline DyYRhPb at its relaxed geometry. The functional is GGA-PBE.

Unit cell a=7.285 b=7.285 c=7.285 alpha=90.00 beta=90.00 gamma=90.00
Space group F-43m (No. 216)
Inequivalent atoms, fractional coordinates:
Dy 0.000 0.000 0.000
Y 0.000 0.000 0.500
Rh 0.250 0.250 0.750
Pb 0.250 0.250 0.250

Calculated values
* energy of formation from the pure elements: -528 meV/atom
* M_tot: 0.00 Bohr magnetons per cell

=====

This record from Alexandria describes crystalline DyZnRhPb at its relaxed geometry. The functional is GGA-PBE.

Unit cell a=6.880 b=6.880 c=6.880 alpha=90.00 beta=90.00 gamma=90.00
Space group F-43m (No. 216)
Inequivalent atoms, fractional coordinates:
Dy 0.000 0.000 0.000
Zn 0.250 0.250 0.250
Rh 0.250 0.250 0.750
Pb 0.000 0.000 0.500

Calculated values
* energy of formation from the pure elements: -348 meV/atom
* M_tot: 0.00 Bohr magnetons per cell

=====

This record from Alexandria describes crystalline Dy2RuPb2 at its relaxed geometry. The functional is GGA-PBE.

Unit cell a=3.453 b=3.453 c=21.894 alpha=90.00 beta=90.00 gamma=90.00
Space group I4/mmm (No. 139)
Inequivalent atoms, fractional coordinates:
Dy 0.000 0.000 0.075
Ru 0.000 0.000 0.500
Pb 0.000 0.000 0.309

Calculated values
* energy of formation from the pure elements: -287 meV/atom
* M_tot: 0.00 Bohr magnetons per cell

=====

This record from Alexandria describes crystalline Dy6Ru2Pb at its relaxed geometry. The functional is GGA-PBE.

Unit cell a=9.406 b=9.639 c=10.460 alpha=90.00 beta=90.00 gamma=90.00
Space group Immm (No. 71)
Inequivalent atoms, fractional coordinates:
Dy 0.000 0.211 0.238
Dy 0.187 0.500 0.169
Dy 0.212 0.317 0.500
Ru 0.000 0.330 0.000
Ru 0.000 0.500 0.372
Pb 0.000 0.000 0.000
Pb 0.000 0.000 0.500

Calculated values
* energy of formation from the pure elements: -392 meV/atom
* M_tot: 0.00 Bohr magnetons per cell

=====

This record from Alexandria describes crystalline Dy3RuPb2 at its relaxed geometry. The functional is GGA-PBE.

Unit cell a=12.708 b=4.333 c=11.777 alpha=90.00 beta=90.00 gamma=90.00
Space group Pnma (No. 62)
Inequivalent atoms, fractional coordinates:
Dy 0.056 0.250 0.131
Dy 0.119 0.750 0.538
Dy 0.248 0.750 0.283
Ru 0.127 0.250 0.367
Pb 0.014 0.250 0.696
Pb 0.185 0.750 0.992

Calculated values
* energy of formation from the pure elements: -441 meV/atom
* M_tot: 0.00 Bohr magnetons per cell

=====

This record from Alexandria describes crystalline Dy12Ru6Pb at its relaxed geometry. The functional is GGA-PBE.

Unit cell a=9.856 b=9.856 c=9.856 alpha=90.00 beta=90.00 gamma=90.00
Space group Im-3 (No. 204)
Inequivalent atoms, fractional coordinates:
Dy 0.000 0.297 0.195
Ru 0.000 0.124 0.500
Pb 0.000 0.000 0.000

Calculated values
* energy of formation from the pure elements: -312 meV/atom
* M_tot: 0.00 Bohr magnetons per cell

=====

This record from Alexandria describes crystalline Dy3RuPb at its relaxed geometry. The functional is GGA-PBE.

Unit cell a=6.566 b=9.827 c=16.536 alpha=90.00 beta=90.00 gamma=90.00
Space group Fmmm (No. 69)
Inequivalent atoms, fractional coordinates:
Dy 0.000 0.000 0.198
Dy 0.000 0.186 0.381
Ru 0.250 0.250 0.250
Pb 0.220 0.000 0.000

Calculated values
* energy of formation from the pure elements: -391 meV/atom
* M_tot: 0.00 Bohr magnetons per cell
* polymorph energy (0 for the lowest one): 0.000 eV/atom

=====

This record from Alexandria describes crystalline Dy4RuPb at its relaxed geometry. The functional is GGA-PBE.

Unit cell a=8.901 b=13.460 c=6.150 alpha=90.00 beta=112.61 gamma=90.00
Space group C2/c (No. 15)
Inequivalent atoms, fractional coordinates:
Dy 0.110 0.167 0.062
Dy 0.223 0.429 0.352
Ru 0.000 0.000 0.250
Pb 0.000 0.371 0.750

Calculated values
* energy of formation from the pure elements: -408 meV/atom
* M_tot: 0.00 Bohr magnetons per cell

=====

This record from Alexandria describes crystalline Dy5Ru2Pb2 at its relaxed geometry. The functional is GGA-PBE.

Unit cell a=16.239 b=7.852 c=7.411 alpha=90.00 beta=90.00 gamma=90.00
Space group Cmce (No. 64)
Inequivalent atoms, fractional coordinates:
Dy 0.000 0.000 0.000
Dy 0.116 0.174 0.336
Ru 0.000 0.130 0.627
Pb 0.220 0.000 0.000

Calculated values
* energy of formation from the pure elements: -400 meV/atom
* M_tot: 0.00 Bohr magnetons per cell

=====

This record from Alexandria describes crystalline Dy5RuPb at its relaxed geometry. The functional is GGA-PBE.

Unit cell a=10.846 b=6.935 c=11.373 alpha=90.00 beta=108.62 gamma=90.00
Space group C2/c (No. 15)
Inequivalent atoms, fractional coordinates:
Dy 0.000 0.028 0.250
Dy 0.124 0.333 0.045
Dy 0.216 0.187 0.637
Ru 0.000 0.000 0.000
Pb 0.000 0.465 0.750

Calculated values
* energy of formation from the pure elements: -162 meV/atom
* M_tot: 0.00 Bohr magnetons per cell

=====

This record from Alexandria describes crystalline Dy3RuPb at its relaxed geometry. The functional is GGA-PBE.

Unit cell a=5.300 b=5.300 c=5.300 alpha=90.00 beta=90.00 gamma=90.00
Space group Pm-3m (No. 221)
Inequivalent atoms, fractional coordinates:
Dy 0.000 0.000 0.500
Ru 0.000 0.000 0.000
Pb 0.500 0.500 0.500

Calculated values
* energy of formation from the pure elements: -240 meV/atom
* M_tot: 0.00 Bohr magnetons per cell
* polymorph energy (0 for the lowest one): 0.151 eV/atom

=====

This record from Alexandria describes crystalline Dy7Ru2Pb2 at its relaxed geometry. The functional is GGA-PBE.

Unit cell a=8.216 b=10.839 c=7.262 alpha=90.00 beta=90.00 gamma=90.00
Space group Cmmm (No. 65)
Inequivalent atoms, fractional coordinates:
Dy 0.000 0.000 0.000
Dy 0.000 0.500 0.227
Dy 0.250 0.250 0.242
Ru 0.000 0.287 0.000
Pb 0.190 0.000 0.500

Calculated values
* energy of formation from the pure elements: -274 meV/atom
* M_tot: 0.00 Bohr magnetons per cell

=====

What did the fifth record say?
This record from Alexandria describes crystalline Dy3RuPb2 at its relaxed geometry. The functional is GGA-PBE.

Unit cell a=12.708 b=4.333 c=11.777 alpha=90.00 beta=90.00 gamma=90.00
Space group Pnma (No. 62)
Inequivalent atoms, fractional coordinates:
Dy 0.056 0.250 0.131
Dy 0.119 0.750 0.538
Dy 0.248 0.750 0.283
Ru 0.127 0.250 0.367
Pb 0.014 0.250 0.696
Pb 0.185 0.750 0.992

Calculated values
* energy of formation from the pure elements: -441 meV/atom
* M_tot: 0.00 Bohr magnetons per cell